Density functional theory data (GGA-PBE) for a geometry-optimized Th6PC3Se2 structure.

## Properties
Fermi-level density of states	10.3	states/eV per cell
total magnetization	0.0	μB per formula unit
E_form (uncorrected)	-99	kJ/mol of atoms

abc: 17.738 3.895 8.216
angles: 90.00 107.26 90.00
Space group C2/m (No. 12)
Asymmetric unit:
1 Th 0.009 0.000 0.233 x4
2 Th 0.154 0.500 0.112 x4
3 Th 0.174 0.500 0.555 x4
4 P 0.000 0.500 0.500 x2
5 C 0.000 0.500 0.000 x2
6 C 0.166 0.000 0.334 x4
7 Se 0.169 0.000 0.837 x4